Record 1
TbTm4Se5 | Alexandria via LeMat-Bulk | GGA-PBE | relaxed; space-group type = I4/mmm; ΔE to the lowest computed polymorph = 4 meV per atom; energy relative to the elements, uncorrected = -1.68 eV/atom; M_tot = 0.00 μB per formula unit
1.0
-2.012 2.012 14.327
2.012 -2.012 14.327
2.012 2.012 -14.327
Tb Tm Se
1 4 5
Direct
0.000 0.000 0.000
0.204 0.204 0.000
0.403 0.403 0.000
0.597 0.597 0.000
0.796 0.796 0.000
0.103 0.103 0.000
0.303 0.303 0.000
0.500 0.500 0.000
0.697 0.697 0.000
0.897 0.897 0.000

Record 2
TbTm3Se4 | Alexandria via LeMat-Bulk | GGA-PBE | relaxed; space-group type = Cmmm; ΔE to the lowest computed polymorph = 0 meV per atom; energy relative to the elements, uncorrected = -1.68 eV/atom; M_tot = 0.00 μB per formula unit
1.0
8.184 0.000 0.000
0.000 11.419 0.000
0.000 0.000 3.978
Tb Tm Se
2 6 8
Direct
0.000 0.000 0.000
0.500 0.500 0.000
0.000 0.500 0.000
0.250 0.250 0.500
0.250 0.750 0.500
0.500 0.000 0.000
0.750 0.250 0.500
0.750 0.750 0.500
0.000 0.253 0.000
0.000 0.747 0.000
0.245 0.500 0.500
0.255 0.000 0.500
0.500 0.247 0.000
0.500 0.753 0.000
0.745 0.000 0.500
0.755 0.500 0.500

Record 3
Tb2Tm2Se3 | Alexandria via LeMat-Bulk | GGA-PBE | relaxed; space-group type = C2/m; energy relative to the elements, uncorrected = -1.45 eV/atom; M_tot = 0.00 μB per formula unit
1.0
13.358 0.000 0.000
0.000 3.954 0.000
-1.352 0.000 6.744
Tb Tm Se
4 4 6
Direct
0.122 0.000 0.353
0.378 0.500 0.647
0.622 0.500 0.353
0.878 0.000 0.647
0.117 0.500 0.885
0.383 0.000 0.115
0.617 0.000 0.885
0.883 0.500 0.115
0.000 0.500 0.500
0.239 0.000 0.751
0.261 0.500 0.249
0.500 0.000 0.500
0.739 0.500 0.751
0.761 0.000 0.249

Which value of M_tot does entry 3 give?
0.00 μB per formula unit

What is the formula in the second record?
TbTm3Se4

The highest energy relative to the elements, uncorrected belongs to which entry?
Tb2Tm2Se3

Which formula does entry 1 have?
TbTm4Se5